Record 1
Al2IrPt, relaxed, DFT GGA-PBE; total moment = 0.00 μB/f.u.; E_tot = -24.095 eV per cell; energy relative to the elements = -1.71 eV per formula unit
1.0
2.828 0.000 0.000
0.000 2.828 0.000
0.000 0.000 7.654
Al Ir Pt
2 1 1
Cartesian
0.000 0.000 0.000
1.414 1.414 2.268
0.000 0.000 3.857
1.414 1.414 5.967

***

Record 2
AlIrPt2, relaxed, DFT GGA-PBE; total moment = 0.00 μB/f.u.; E_tot = -26.323 eV per cell; energy relative to the elements = -1.64 eV per formula unit
1.0
2.769 0.000 0.000
0.000 3.835 0.000
-0.027 0.000 5.630
Al Ir Pt
1 1 2
Cartesian
0.000 0.000 0.000
-0.013 0.000 2.815
1.369 1.917 1.381
1.373 1.917 4.249

***

Record 3
AlIr2Pt, relaxed, DFT GGA-PBE; total moment = 0.00 μB/f.u.; E_tot = -29.051 eV per cell; energy relative to the elements = -1.55 eV per formula unit
1.0
-1.952 1.952 3.840
1.952 -1.952 3.840
1.952 1.952 -3.840
Al Ir Pt
1 2 1
Cartesian
0.000 0.000 0.000
1.952 0.000 1.920
0.000 0.000 3.840
0.000 1.952 1.920

***

Record 4
Al2IrPt, relaxed, DFT GGA-PBE; total moment = 0.00 μB/f.u.; E_tot = -24.010 eV per cell; energy relative to the elements = -1.62 eV per formula unit
1.0
1.439 0.831 8.445
-1.439 0.831 8.445
0.000 -1.661 8.445
Al Ir Pt
2 1 1
Cartesian
0.000 0.000 0.000
0.000 0.000 6.221
0.000 0.000 18.784
0.000 0.000 12.714

***

Record 5
Al2IrPt, relaxed, DFT GGA-PBE; total moment = 0.00 μB/f.u.; E_tot = -23.901 eV per cell; energy relative to the elements = -1.51 eV per formula unit
1.0
0.000 3.110 3.110
3.110 0.000 3.110
3.110 3.110 0.000
Al Ir Pt
2 1 1
Cartesian
0.000 0.000 0.000
1.555 1.555 1.555
3.110 3.110 3.110
4.665 4.665 4.665

***

Record 6
AlIr2Pt, relaxed, DFT GGA-PBE; total moment = 0.00 μB/f.u.; E_tot = -28.901 eV per cell; energy relative to the elements = -1.40 eV per formula unit
1.0
-1.970 1.970 3.776
1.970 -1.970 3.776
1.970 1.970 -3.776
Al Ir Pt
1 2 1
Cartesian
0.000 0.000 0.000
1.970 0.000 1.888
0.000 1.970 1.888
0.000 0.000 3.776

***

Record 7
AlIrPt2, relaxed, DFT GGA-PBE; total moment = 0.00 μB/f.u.; E_tot = -26.375 eV per cell; energy relative to the elements = -1.69 eV per formula unit
1.0
-1.960 1.960 3.896
1.960 -1.960 3.896
1.960 1.960 -3.896
Al Ir Pt
1 1 2
Cartesian
0.000 0.000 0.000
0.000 0.000 3.896
1.960 0.000 1.948
0.000 1.960 1.948

***

Record 8
AlIrPt2, relaxed, DFT GGA-PBE; total moment = 0.00 μB/f.u.; E_tot = -26.086 eV per cell; energy relative to the elements = -1.40 eV per formula unit
1.0
-1.468 2.250 4.539
1.468 -2.250 4.539
1.468 2.250 -4.539
Al Ir Pt
1 1 2
Cartesian
0.000 0.000 0.000
0.000 0.000 4.539
1.468 0.000 2.069
0.000 2.250 2.470